No. 1
Compound: Ni12Ge7Pt2
Source: the Alexandria database
Functional: PBE
Structure: optimized geometry

Lattice parameters (Å, degrees): 10.219 10.219 2.936 90.00 90.00 120.00
Fractional positions:
Ni  0.048  0.256  0.000
Ni  0.120  0.708  0.500
Ni  0.208  0.952  0.000
Ni  0.292  0.412  0.500
Ni  0.410  0.163  0.500
Ni  0.513  0.412  0.000
Ni  0.588  0.101  0.000
Ni  0.588  0.880  0.500
Ni  0.744  0.792  0.000
Ni  0.754  0.590  0.500
Ni  0.837  0.246  0.500
Ni  0.899  0.487  0.000
Ge  0.088  0.464  0.500
Ge  0.246  0.203  0.000
Ge  0.376  0.912  0.500
Ge  0.536  0.624  0.500
Ge  0.667  0.333  0.500
Ge  0.797  0.043  0.000
Ge  0.957  0.754  0.000
Pt  0.000  0.000  0.500
Pt  0.333  0.667  0.000

Output
The energy of formation from the pure elements is -0.293 eV per atom. Its space group is No. 174.


No. 2
Compound: W5Se8
Source: the Alexandria database
Functional: PBE
Structure: optimized geometry

Lattice parameters (Å, degrees): 6.912 6.912 8.617 125.53 125.53 61.49
Fractional positions:
W  0.000  0.000  0.000
W  0.286  0.286  0.497
W  0.289  0.711  0.500
W  0.711  0.289  0.500
W  0.714  0.714  0.503
Se  0.191  0.191  0.699
Se  0.197  0.715  0.749
Se  0.285  0.803  0.251
Se  0.286  0.286  0.197
Se  0.714  0.714  0.803
Se  0.715  0.197  0.749
Se  0.803  0.285  0.251
Se  0.809  0.809  0.301

Output
The value obtained for the raw total energy is -7.317 eV/atom. Its space group is No. 12.


No. 3
Compound: MnIn2Ru2
Source: the Alexandria database
Functional: PBE
Structure: optimized geometry

Lattice parameters (Å, degrees): 6.314 6.314 4.306 90.00 90.00 90.00
Fractional positions:
Mn  0.000  0.000  0.000
Mn  0.500  0.500  0.000
In  0.173  0.327  0.500
In  0.327  0.827  0.500
In  0.673  0.173  0.500
In  0.827  0.673  0.500
Ru  0.140  0.640  0.000
Ru  0.360  0.140  0.000
Ru  0.640  0.860  0.000
Ru  0.860  0.360  0.000

Output
The value obtained for the offset from the most stable computed form is 0.0 kJ per mole of atoms. The energy of formation from the pure elements is 0.332 eV per atom. Its space group is No. 127.


No. 4
Compound: Gd2TiAg
Source: the Alexandria database
Functional: PBE
Structure: optimized geometry

Lattice parameters (Å, degrees): 5.143 5.143 3.727 90.00 90.00 90.00
Fractional positions:
Gd  0.000  0.500  0.000
Gd  0.500  0.000  0.000
Ti  0.000  0.000  0.500
Ag  0.500  0.500  0.500

Output
The value obtained for the offset from the most stable computed form is 4.9 kJ per mole of atoms. The energy of formation from the pure elements is 0.049 eV per atom. Its space group is No. 123.